Entry 1:
PBE KAgW2, relaxed; formation energy from the elements = 1.5856 eV per atom; excess energy over the best structure of this formula in the dataset = 860 meV/atom; DFT total energy = -23.5 eV per formula unit
1.0
-1.922 1.922 5.524
1.922 -1.922 5.524
1.922 1.922 -5.524
K Ag W
1 1 2
direct
0.000 0.000 0.000
0.500 0.500 0.000
0.250 0.750 0.500
0.750 0.250 0.500

---

Entry 2:
PBE KAg2W, relaxed; formation energy from the elements = 0.7147 eV per atom; excess energy over the best structure of this formula in the dataset = 0 meV/atom; DFT total energy = -16.9 eV per formula unit
1.0
2.033 -2.071 0.000
2.033 2.071 0.000
0.000 0.000 9.744
K Ag W
1 2 1
direct
0.000 0.000 0.000
0.500 0.500 0.290
0.500 0.500 0.710
0.000 0.000 0.500

---

Entry 3:
PBE KAg2W, relaxed; formation energy from the elements = 0.7816 eV per atom; excess energy over the best structure of this formula in the dataset = 67 meV/atom; DFT total energy = -16.6 eV per formula unit
1.0
1.572 -2.344 0.000
1.572 2.344 0.000
0.000 0.000 10.904
K Ag W
1 2 1
direct
0.000 0.000 0.000
0.000 0.000 0.500
0.500 0.500 0.726
0.500 0.500 0.281

---

Entry 4:
PBE KAgW2, relaxed; formation energy from the elements = 0.7253 eV per atom; excess energy over the best structure of this formula in the dataset = 0 meV/atom; DFT total energy = -27.0 eV per formula unit
1.0
1.616 -2.361 0.000
1.616 2.361 0.000
0.000 0.000 10.515
K Ag W
1 1 2
direct
0.000 0.000 0.000
0.500 0.500 0.280
0.000 0.000 0.510
0.500 0.500 0.703

---

Entry 5:
PBE KAgW2, relaxed; formation energy from the elements = 1.0251 eV per atom; excess energy over the best structure of this formula in the dataset = 300 meV/atom; DFT total energy = -25.8 eV per formula unit
1.0
-1.325 2.535 5.996
1.325 -2.535 5.996
1.325 2.535 -5.996
K Ag W
1 1 2
direct
0.000 0.000 0.000
0.500 0.500 0.000
0.282 0.782 0.500
0.718 0.218 0.500

---

Entry 6:
PBE KAg2W, relaxed; formation energy from the elements = 1.3252 eV per atom; excess energy over the best structure of this formula in the dataset = 611 meV/atom; DFT total energy = -14.5 eV per formula unit
1.0
0.000 3.580 3.580
3.580 0.000 3.580
3.580 3.580 0.000
K Ag W
1 2 1
direct
0.000 0.000 0.000
0.250 0.250 0.250
0.750 0.750 0.750
0.500 0.500 0.500

---

Total magnetization: 0.00, 0.00, 0.00, 0.00, 0.00, 4.17 (Bohr magnetons per cell)